(1)
A relaxed YCoSi2 crystal, computed with PBE-GGA.

Symmetry   F-43m, No. 216

Cell lengths 4.508, 4.508, 4.508 Å; angles 60.00, 60.00, 60.00 degrees
Element x y z (fractional)
1 Co 0.500 0.500 0.500
2 Si 0.000 0.000 0.000
3 Si 0.750 0.750 0.750
4 Y 0.250 0.250 0.250

(2)
A relaxed YCo5Si3 crystal, computed with PBE-GGA.

Symmetry   Cmcm, No. 63

Cell lengths 3.702, 6.135, 11.191 Å; angles 90.00, 90.00, 107.56 degrees
Element x y z (fractional)
1 Si 0.380 0.761 0.542
2 Co 0.194 0.388 0.935
3 Si 0.620 0.239 0.458
4 Co 0.000 0.000 0.000
5 Y 0.830 0.661 0.750
6 Co 0.000 0.000 0.500
7 Y 0.170 0.339 0.250
8 Co 0.194 0.388 0.565
9 Co 0.550 0.100 0.854
10 Co 0.550 0.100 0.646
11 Si 0.380 0.761 0.958
12 Co 0.806 0.612 0.435
13 Si 0.620 0.239 0.042
14 Si 0.890 0.780 0.250
15 Co 0.450 0.900 0.354
16 Co 0.806 0.612 0.065
17 Si 0.110 0.220 0.750
18 Co 0.450 0.900 0.146

(3)
A relaxed Y2CoSi2 crystal, computed with PBE-GGA.

Symmetry   I4/mmm, No. 139

Cell lengths 8.723, 8.723, 8.723 Å; angles 157.01, 157.01, 32.74 degrees
Element x y z (fractional)
1 Si 0.250 0.750 0.500
2 Y 0.401 0.401 0.000
3 Y 0.599 0.599 0.000
4 Co 0.000 0.000 0.000
5 Si 0.750 0.250 0.500

(4)
A relaxed YCoSi2 crystal, computed with PBE-GGA.

Symmetry   Pnma, No. 62

Cell lengths 3.937, 6.750, 9.769 Å; angles 90.00, 90.00, 90.00 degrees
Element x y z (fractional)
1 Y 0.250 0.847 0.874
2 Si 0.750 0.658 0.682
3 Si 0.750 0.182 0.426
4 Si 0.250 0.318 0.926
5 Si 0.250 0.842 0.182
6 Si 0.750 0.158 0.818
7 Y 0.250 0.347 0.626
8 Si 0.250 0.342 0.318
9 Co 0.250 0.008 0.384
10 Y 0.750 0.153 0.126
11 Si 0.250 0.818 0.574
12 Co 0.750 0.492 0.884
13 Si 0.750 0.682 0.074
14 Co 0.250 0.508 0.116
15 Co 0.750 0.992 0.616
16 Y 0.750 0.653 0.374

Formation energy from raw total energies list, top to bottom, in meV per atom: -31; -548; -149; -779
Final energy list, top to bottom, in eV per atom: -6.135; -7.022; -6.325; -6.883